The following is a GGA-PBE calculation of LiCr2Ru after structural relaxation, from Alexandria.

Formation energy from the elements (meV per atom): 442
Total energy (Ry per atom): -0.5268

abc: 2.774 4.249 8.987
angles: 90.00 90.00 90.00
Space group Cmmm (No. 65)
One atom of each set of equivalent atoms:
Li1 0.000 0.000 0.000
Cr1 0.000 0.500 0.261
Ru1 0.000 0.000 0.500